i) {
  "formula": "MgTcI2",
  "functional": "PBE-GGA",
  "state": "relaxed",
  "total_magnetization_mub_per_cell": 0.00,
  "spacegroup": "I-42d (122)",
  "cell": [[6.248, 0.000, 0.000], [0.000, 6.248, 0.000], [3.124, 3.124, 6.369]],
  "species": ["I", "I", "I", "I", "Mg", "Mg", "Tc", "Tc"],
  "fractional_positions": [[0.653, 0.125, 0.250], [0.097, 0.625, 0.250], [0.375, 0.347, 0.750], [0.875, 0.903, 0.750], [0.500, 0.500, 0.000], [0.250, 0.750, 0.500], [0.000, 0.000, 0.000], [0.750, 0.250, 0.500]]
}


ii) {
  "formula": "MgTcI2",
  "functional": "PBE-GGA",
  "state": "relaxed",
  "total_magnetization_mub_per_cell": 0.00,
  "spacegroup": "Fm-3m (225)",
  "cell": [[-2.325, 1.585, 4.146], [1.013, 4.542, 1.859], [-3.426, 3.645, -0.287]],
  "species": ["I", "I", "Mg", "Tc"],
  "fractional_positions": [[0.250, 0.250, 0.250], [0.750, 0.750, 0.750], [0.000, 0.000, 0.000], [0.500, 0.500, 0.500]]
}


The calculated energies rank the structures as follows, beginning with the most stable: i), ii).


i) {
  "formula": "MgTeI2",
  "functional": "PBE-GGA",
  "state": "relaxed",
  "total_magnetization_mub_per_cell": 0.00,
  "spacegroup": "Fm-3m (225)",
  "cell": [[2.814, -2.884, 3.869], [-2.540, -4.090, 2.832], [1.384, -5.328, -0.946]],
  "species": ["I", "I", "Mg", "Te"],
  "fractional_positions": [[0.250, 0.250, 0.250], [0.750, 0.750, 0.750], [0.000, 0.000, 0.000], [0.500, 0.500, 0.500]]
}


ii) {
  "formula": "MgTeI2",
  "functional": "PBE-GGA",
  "state": "relaxed",
  "total_magnetization_mub_per_cell": 0.00,
  "spacegroup": "I-42d (122)",
  "cell": [[-2.953, -9.643, -4.085], [9.826, -1.084, -4.546], [4.374, -6.637, -1.985]],
  "species": ["I", "I", "I", "I", "Mg", "Mg", "Te", "Te"],
  "fractional_positions": [[0.455, 0.125, 0.250], [0.295, 0.625, 0.250], [0.375, 0.545, 0.750], [0.875, 0.705, 0.750], [0.500, 0.500, 0.000], [0.250, 0.750, 0.500], [0.000, 0.000, 0.000], [0.750, 0.250, 0.500]]
}


The calculated energies rank the structures as follows, beginning with the most stable: ii), i).


i) {
  "formula": "MgTiTeI2",
  "functional": "PBE-GGA",
  "state": "relaxed",
  "total_magnetization_mub_per_cell": 2.00,
  "spacegroup": "P4/mmm (123)",
  "cell": [[5.500, 0.000, 0.000], [0.000, 5.500, 0.000], [0.000, 0.000, 5.791]],
  "species": ["I", "I", "Mg", "Te", "Ti"],
  "fractional_positions": [[0.000, 0.500, 0.000], [0.500, 0.000, 0.000], [0.000, 0.000, 0.000], [0.000, 0.000, 0.500], [0.500, 0.500, 0.500]]
}


ii) {
  "formula": "MgTiTeI2",
  "functional": "PBE-GGA",
  "state": "relaxed",
  "total_magnetization_mub_per_cell": 1.24,
  "spacegroup": "P4/mmm (123)",
  "cell": [[5.616, 0.000, 0.000], [0.000, 5.616, 0.000], [0.000, 0.000, 5.419]],
  "species": ["I", "I", "Mg", "Te", "Ti"],
  "fractional_positions": [[0.000, 0.500, 0.000], [0.500, 0.000, 0.000], [0.500, 0.500, 0.500], [0.000, 0.000, 0.500], [0.000, 0.000, 0.000]]
}


The calculated energies rank the structures as follows, beginning with the most stable: ii), i).


i) {
  "formula": "MgTlTeI2",
  "functional": "PBE-GGA",
  "state": "relaxed",
  "total_magnetization_mub_per_cell": 0.00,
  "spacegroup": "P4/mmm (123)",
  "cell": [[5.981, 0.000, 0.000], [0.000, 5.981, 0.000], [0.000, 0.000, 5.933]],
  "species": ["I", "I", "Tl", "Te", "Mg"],
  "fractional_positions": [[0.000, 0.500, 0.000], [0.500, 0.000, 0.000], [0.000, 0.000, 0.000], [0.000, 0.000, 0.500], [0.500, 0.500, 0.500]]
}


ii) {
  "formula": "MgTlTeI2",
  "functional": "PBE-GGA",
  "state": "relaxed",
  "total_magnetization_mub_per_cell": 0.00,
  "spacegroup": "P4/mmm (123)",
  "cell": [[-5.089, -0.675, 2.719], [1.870, -5.016, 2.256], [2.007, 2.744, 4.438]],
  "species": ["I", "I", "Tl", "Te", "Mg"],
  "fractional_positions": [[0.000, 0.500, 0.000], [0.500, 0.000, 0.000], [0.500, 0.500, 0.500], [0.000, 0.000, 0.500], [0.000, 0.000, 0.000]]
}


The calculated energies rank the structures as follows, beginning with the most stable: ii), i).


i) {
  "formula": "MgVTeI2",
  "functional": "PBE-GGA",
  "state": "relaxed",
  "total_magnetization_mub_per_cell": 3.09,
  "spacegroup": "P4/mmm (123)",
  "cell": [[5.533, 0.000, 0.000], [0.000, 5.533, 0.000], [0.000, 0.000, 5.776]],
  "species": ["I", "I", "Mg", "Te", "V"],
  "fractional_positions": [[0.000, 0.500, 0.000], [0.500, 0.000, 0.000], [0.000, 0.000, 0.000], [0.000, 0.000, 0.500], [0.500, 0.500, 0.500]]
}


ii) {
  "formula": "MgVTeI2",
  "functional": "PBE-GGA",
  "state": "relaxed",
  "total_magnetization_mub_per_cell": 2.41,
  "spacegroup": "P4/mmm (123)",
  "cell": [[5.578, 0.000, 0.000], [0.000, 5.578, 0.000], [0.000, 0.000, 5.326]],
  "species": ["I", "I", "Mg", "Te", "V"],
  "fractional_positions": [[0.000, 0.500, 0.000], [0.500, 0.000, 0.000], [0.500, 0.500, 0.500], [0.000, 0.000, 0.500], [0.000, 0.000, 0.000]]
}


The calculated energies rank the structures as follows, beginning with the most stable: ii), i).


i) {
  "formula": "MgVTe2I",
  "functional": "PBE-GGA",
  "state": "relaxed",
  "total_magnetization_mub_per_cell": 0.19,
  "spacegroup": "P4/mmm (123)",
  "cell": [[-0.102, -4.770, 2.677], [-2.659, -2.297, -4.194], [4.796, -1.384, -2.283]],
  "species": ["I", "Mg", "Te", "Te", "V"],
  "fractional_positions": [[0.000, 0.000, 0.500], [0.000, 0.000, 0.000], [0.000, 0.500, 0.000], [0.500, 0.000, 0.000], [0.500, 0.500, 0.500]]
}


ii) {
  "formula": "MgVTe2I",
  "functional": "PBE-GGA",
  "state": "relaxed",
  "total_magnetization_mub_per_cell": 1.75,
  "spacegroup": "P4/mmm (123)",
  "cell": [[5.222, 0.000, 0.000], [0.000, 5.222, 0.000], [0.000, 0.000, 5.777]],
  "species": ["I", "Mg", "Te", "Te", "V"],
  "fractional_positions": [[0.000, 0.000, 0.500], [0.500, 0.500, 0.500], [0.000, 0.500, 0.000], [0.500, 0.000, 0.000], [0.000, 0.000, 0.000]]
}


The calculated energies rank the structures as follows, beginning with the most stable: ii), i).